First-principles (PBE) data for a relaxed structure of Pm6SnI8, as listed in Alexandria.

Cell lengths 7.7072, 7.7072, 12.4383 Å; angles 71.95, 71.95, 60.00 degrees
Sites, in units of the cell vectors:
I: 0.5547 0.8932 0.3206
I: 0.8932 0.2315 0.3206
Pm: 0.9493 0.6349 0.1520
Pm: 0.6349 0.2637 0.1520
I: 0.3333 0.3333 0.0000
Pm: 0.0507 0.3651 0.8480
I: 0.2315 0.5547 0.3206
Pm: 0.3651 0.7363 0.8480
Pm: 0.7363 0.0507 0.8480
Pm: 0.2637 0.9493 0.1520
I: 0.1068 0.7685 0.6794
I: 0.6667 0.6667 0.0000
I: 0.4453 0.1068 0.6794
Sn: 0.0000 0.0000 0.0000
I: 0.7685 0.4453 0.6794

## Properties
crystal system	trigonal
ΔE_f (raw)	-1111	meV/atom
symmetry	R-3

***

First-principles (PBE) data for a relaxed structure of Pm3SnI2, as listed in Alexandria.

Cell lengths 6.9720, 8.9721, 8.9721 Å; angles 132.21, 90.00, 90.00 degrees
Sites, in units of the cell vectors:
Pm: 0.2500 0.4250 0.1038
Sn: 0.7500 0.6932 0.3068
Pm: 0.7500 0.5750 0.8962
Pm: 0.2500 0.8723 0.1277
Sn: 0.2500 0.3068 0.6932
I: 0.5000 0.7495 0.7495
I: 0.0000 0.7495 0.7495
Pm: 0.7500 0.1038 0.4250
I: 0.0000 0.2505 0.2505
I: 0.5000 0.2505 0.2505
Pm: 0.2500 0.8962 0.5750
Pm: 0.7500 0.1277 0.8723

## Properties
crystal system	orthorhombic
ΔE_f (raw)	-483	meV/atom
symmetry	Cmcm

***

First-principles (PBE) data for a relaxed structure of Pm2SnI, as listed in Alexandria.

Cell lengths 5.5248, 5.5248, 5.5248 Å; angles 60.00, 60.00, 60.00 degrees
Sites, in units of the cell vectors:
I: 0.0000 0.0000 0.0000
Pm: 0.2500 0.2500 0.2500
Pm: 0.7500 0.7500 0.7500
Sn: 0.5000 0.5000 0.5000

## Properties
crystal system	cubic
E above lowest polymorph	56	kJ/mol of formula units
ΔE_f (raw)	-716	meV/atom
symmetry	Fm-3m

***

First-principles (PBE) data for a relaxed structure of Pm4Sn2I, as listed in Alexandria.

Cell lengths 8.0729, 6.5870, 9.7433 Å; angles 90.00, 117.44, 90.00 degrees
Sites, in units of the cell vectors:
Pm: 0.9547 0.2500 0.5979
Pm: 0.4807 0.9989 0.2940
Pm: 0.2273 0.7500 0.8531
I: 0.1065 0.7500 0.1044
I: 0.8935 0.2500 0.8956
Sn: 0.2015 0.2500 0.4155
Pm: 0.5193 0.0011 0.7060
Pm: 0.0453 0.7500 0.4021
Sn: 0.7985 0.7500 0.5845
Sn: 0.3471 0.2500 0.9192
Pm: 0.5193 0.4989 0.7060
Pm: 0.7727 0.2500 0.1469
Pm: 0.4807 0.5011 0.2940
Sn: 0.6529 0.7500 0.0808

## Properties
crystal system	monoclinic
ΔE_f (raw)	-584	meV/atom
symmetry	P2_1/m

***

First-principles (PBE) data for a relaxed structure of Pm2SnI, as listed in Alexandria.

Cell lengths 4.4586, 4.4586, 8.2911 Å; angles 74.40, 74.40, 60.00 degrees
Sites, in units of the cell vectors:
Sn: 0.6682 0.6682 0.9955
I: 0.4983 0.4983 0.5052
Pm: 0.2627 0.2627 0.2120
Pm: 0.0709 0.0709 0.7873

## Properties
crystal system	trigonal
E above lowest polymorph	12	kJ/mol of formula units
ΔE_f (raw)	-831	meV/atom
symmetry	R3m

***

First-principles (PBE) data for a relaxed structure of Pm7SnI12, as listed in Alexandria.

Cell lengths 10.0152, 10.0152, 10.0152 Å; angles 108.10, 108.10, 108.10 degrees
Sites, in units of the cell vectors:
I: 0.3924 0.4718 0.1561
Pm: 0.8894 0.9608 0.6710
I: 0.1561 0.3924 0.4718
Sn: 0.0000 0.0000 0.0000
I: 0.2318 0.0790 0.6909
I: 0.6909 0.2318 0.0790
I: 0.5282 0.8439 0.6076
Pm: 0.3290 0.1106 0.0392
Pm: 0.5000 0.5000 0.5000
I: 0.0790 0.6909 0.2318
Pm: 0.9608 0.6710 0.8894
I: 0.3091 0.7682 0.9210
Pm: 0.0392 0.3290 0.1106
I: 0.7682 0.9210 0.3091
I: 0.6076 0.5282 0.8439
Pm: 0.1106 0.0392 0.3290
Pm: 0.6710 0.8894 0.9608
I: 0.8439 0.6076 0.5282
I: 0.9210 0.3091 0.7682
I: 0.4718 0.1561 0.3924

## Properties
crystal system	trigonal
ΔE_f (raw)	-1257	meV/atom
symmetry	R-3

***

First-principles (PBE) data for a relaxed structure of Pm2SnI, as listed in Alexandria.

Cell lengths 6.3343, 4.5849, 9.1373 Å; angles 90.00, 89.71, 90.00 degrees
Sites, in units of the cell vectors:
Pm: 0.1967 0.2333 0.4505
Sn: 0.2002 0.7333 0.2326
Pm: 0.2014 0.2333 0.0008
Pm: 0.7004 0.7333 0.2151
I: 0.2054 0.7334 0.7270
Pm: 0.7055 0.7333 0.7655
Sn: 0.7016 0.2333 0.9833
I: 0.6968 0.2334 0.4890

## Properties
crystal system	monoclinic
E above lowest polymorph	8	kJ/mol of formula units
ΔE_f (raw)	-840	meV/atom
symmetry	P2_1/m

***

First-principles (PBE) data for a relaxed structure of Pm5Sn2I, as listed in Alexandria.

Cell lengths 7.4046, 7.4047, 6.8444 Å; angles 122.75, 122.73, 90.01 degrees
Sites, in units of the cell vectors:
Sn: 0.7295 0.2287 0.4590
Sn: 0.2293 0.7296 0.4590
Pm: 0.2327 0.2325 0.9539
Pm: 0.7209 0.2323 0.9533
Pm: 0.7210 0.7208 0.9530
Pm: 0.7356 0.7362 0.4709
I: 0.1760 0.1762 0.3521
Pm: 0.2320 0.7206 0.9528

## Properties
crystal system	monoclinic
ΔE_f (raw)	-482	meV/atom
symmetry	Cm

***

First-principles (PBE) data for a relaxed structure of Pm3Sn2I2, as listed in Alexandria.

Cell lengths 3.8697, 7.7182, 8.0178 Å; angles 100.20, 89.94, 104.50 degrees
Sites, in units of the cell vectors:
Pm: 0.0000 0.0000 0.0000
Sn: 0.0801 0.1598 0.4136
Pm: 0.2754 0.5510 0.7069
Sn: 0.9199 0.8402 0.5864
I: 0.3557 0.7114 0.1108
Pm: 0.7246 0.4490 0.2931
I: 0.6443 0.2886 0.8892

## Properties
crystal system	triclinic
ΔE_f (raw)	-667	meV/atom
symmetry	P-1

***

First-principles (PBE) data for a relaxed structure of Pm4SnI, as listed in Alexandria.

Cell lengths 6.6186, 7.6240, 9.5074 Å; angles 102.24, 111.77, 98.01 degrees
Sites, in units of the cell vectors:
Pm: 0.4357 0.9167 0.1273
Pm: 0.1858 0.6000 0.2321
Pm: 0.6396 0.4750 0.1863
Sn: 0.1617 0.2180 0.9789
I: 0.0000 0.5000 0.5000
I: 0.5000 0.0000 0.5000
Pm: 0.9186 0.8446 0.7108
Pm: 0.5643 0.0833 0.8727
Pm: 0.8142 0.4000 0.7679
Sn: 0.8383 0.7820 0.0211
Pm: 0.3604 0.5250 0.8137
Pm: 0.0814 0.1554 0.2892

## Properties
crystal system	triclinic
ΔE_f (raw)	-356	meV/atom
symmetry	P-1

***

First-principles (PBE) data for a relaxed structure of Pm3SnI7, as listed in Alexandria.

Cell lengths 7.2081, 9.0377, 9.0377 Å; angles 120.00, 90.00, 90.00 degrees
Sites, in units of the cell vectors:
I: 0.0340 0.1736 0.3472
I: 0.0340 0.1736 0.8264
I: 0.0347 0.6667 0.3333
I: 0.5427 0.3378 0.1689
Pm: 0.7785 0.0065 0.5032
I: 0.5427 0.8311 0.6622
Pm: 0.7785 0.4968 0.5032
Sn: 0.5149 0.3333 0.6667
I: 0.0340 0.6528 0.8264
Pm: 0.7785 0.4968 0.9935
I: 0.5427 0.8311 0.1689

## Properties
crystal system	trigonal
ΔE_f (raw)	-1082	meV/atom
symmetry	P3m1

***

First-principles (PBE) data for a relaxed structure of Pm2SnI8, as listed in Alexandria.

Cell lengths 4.2308, 10.9446, 11.6015 Å; angles 89.52, 100.51, 90.00 degrees
Sites, in units of the cell vectors:
I: 0.9940 0.2156 0.9880
I: 0.2450 0.2960 0.4899
Sn: 0.5000 0.0000 0.0000
Pm: 0.1518 0.7316 0.3036
I: 0.3978 0.4519 0.7956
I: 0.0060 0.7844 0.0120
I: 0.7550 0.7040 0.5101
I: 0.3607 0.0426 0.7214
Pm: 0.8482 0.2684 0.6964
I: 0.6022 0.5481 0.2044
I: 0.6393 0.9574 0.2786

## Properties
crystal system	monoclinic
ΔE_f (raw)	-1142	meV/atom
symmetry	C2/m

***

First-principles (PBE) data for a relaxed structure of Pm5Sn4I, as listed in Alexandria.

Cell lengths 3.6205, 3.6205, 21.9592 Å; angles 90.00, 90.00, 90.00 degrees
Sites, in units of the cell vectors:
Sn: 0.0000 0.0000 0.6010
Pm: 0.5000 0.5000 0.7021
Pm: 0.5000 0.5000 0.2979
Pm: 0.5000 0.5000 0.1016
Sn: 0.0000 0.0000 0.3990
Pm: 0.5000 0.5000 0.8984
I: 0.0000 0.0000 0.0000
Sn: 0.0000 0.0000 0.8025
Sn: 0.0000 0.0000 0.1975
Pm: 0.5000 0.5000 0.5000

## Properties
crystal system	tetragonal
ΔE_f (raw)	-695	meV/atom
symmetry	P4/mmm

***

First-principles (PBE) data for a relaxed structure of PmTlSn2I8, as listed in Alexandria.

Cell lengths 7.8348, 7.3670, 9.5827 Å; angles 89.98, 89.99, 89.11 degrees
Sites, in units of the cell vectors:
I: 0.8406 0.2509 0.2279
Sn: 0.4999 0.5000 0.2532
I: 0.1591 0.7489 0.2280
I: 0.3621 0.2694 0.5001
I: 0.8409 0.2511 0.7720
Sn: 0.5001 0.5000 0.7468
I: 0.6718 0.7580 0.9999
I: 0.1594 0.7491 0.7721
Pm: 0.0000 0.0000 0.0000
Tl: 0.0000 0.0000 0.5000
I: 0.3282 0.2420 0.0001
I: 0.6379 0.7306 0.4999

## Properties
crystal system	monoclinic
ΔE_f (raw)	-795	meV/atom
symmetry	P2/m

***

First-principles (PBE) data for a relaxed structure of SrPmI4, as listed in Alexandria.

Cell lengths 4.3921, 7.9569, 8.0415 Å; angles 91.10, 90.00, 90.00 degrees
Sites, in units of the cell vectors:
I: 0.0000 0.2396 0.6701
Pm: 0.5000 0.0000 0.5000
I: 0.5000 0.7579 0.8102
Sr: 0.0000 0.0000 0.0000
I: 0.0000 0.7604 0.3299
I: 0.5000 0.2421 0.1898

## Properties
crystal system	monoclinic
E above lowest polymorph	16	kJ/mol of formula units
ΔE_f (raw)	-1431	meV/atom
symmetry	P2/m

***

First-principles (PBE) data for a relaxed structure of SrPmI4, as listed in Alexandria.

Cell lengths 7.3661, 8.6107, 9.0780 Å; angles 113.41, 108.41, 100.93 degrees
Sites, in units of the cell vectors:
I: 0.2070 0.2963 0.3508
Sr: 0.6146 0.3646 0.7291
Sr: 0.3854 0.6354 0.2709
I: 0.6438 0.0545 0.3508
I: 0.9920 0.7619 0.1232
I: 0.6312 0.3612 0.1232
I: 0.3688 0.6388 0.8768
I: 0.7930 0.7037 0.6492
Pm: 0.2523 0.0023 0.0046
I: 0.0080 0.2381 0.8768
I: 0.3562 0.9455 0.6492
Pm: 0.7477 0.9977 0.9954

## Properties
crystal system	monoclinic
E above lowest polymorph	0	kJ/mol of formula units
ΔE_f (raw)	-1458	meV/atom
symmetry	C2/c

***

First-principles (PBE) data for a relaxed structure of SrPm2I6, as listed in Alexandria.

Cell lengths 4.3631, 9.0243, 11.8271 Å; angles 111.89, 90.00, 103.99 degrees
Sites, in units of the cell vectors:
I: 0.0393 0.0786 0.7969
I: 0.6494 0.2988 0.5711
Pm: 0.6857 0.3715 0.8654
I: 0.9607 0.9214 0.2031
Pm: 0.3142 0.6285 0.1346
I: 0.3506 0.7012 0.4289
I: 0.3214 0.6428 0.8707
Sr: 0.0000 0.0000 0.5000
I: 0.6786 0.3572 0.1293

## Properties
crystal system	monoclinic
ΔE_f (raw)	-1409	meV/atom
symmetry	C2/m

***

First-principles (PBE) data for a relaxed structure of SrPm2I8, as listed in Alexandria.

Cell lengths 8.0248, 9.6575, 9.6575 Å; angles 68.67, 82.53, 82.53 degrees
Sites, in units of the cell vectors:
Pm: 0.3558 0.1864 0.1864
I: 0.7735 0.7063 0.1150
I: 0.7735 0.1150 0.7063
I: 0.2690 0.8178 0.8178
I: 0.7310 0.1822 0.1822
I: 0.7985 0.6375 0.6375
I: 0.2265 0.2937 0.8850
I: 0.2015 0.3625 0.3625
Pm: 0.6442 0.8136 0.8136
Sr: 0.0000 0.0000 0.0000
I: 0.2265 0.8850 0.2937

## Properties
crystal system	monoclinic
ΔE_f (raw)	-1350	meV/atom
symmetry	C2/m

***

First-principles (PBE) data for a relaxed structure of SrPmI6, as listed in Alexandria.

Cell lengths 7.9755, 7.9710, 8.2250 Å; angles 60.65, 61.33, 60.04 degrees
Sites, in units of the cell vectors:
I: 0.2308 0.9462 0.2470
I: 0.0562 0.4239 0.7450
I: 0.5811 0.2301 0.2479
Sr: 0.5000 0.5000 0.5000
I: 0.7692 0.0538 0.7530
I: 0.4189 0.7699 0.7521
Pm: 0.0000 0.0000 0.0000
I: 0.9438 0.5761 0.2550

## Properties
crystal system	triclinic
ΔE_f (raw)	-1203	meV/atom
symmetry	P-1

***

First-principles (PBE) data for a relaxed structure of Tb2PmI, as listed in Alexandria.

Cell lengths 3.6721, 3.6721, 9.5959 Å; angles 90.00, 90.00, 90.00 degrees
Sites, in units of the cell vectors:
Tb: 0.0000 0.0000 0.7582
I: 0.5000 0.5000 0.0000
Pm: 0.5000 0.5000 0.5000
Tb: 0.0000 0.0000 0.2418

## Properties
crystal system	tetragonal
E above lowest polymorph	30	kJ/mol of formula units
ΔE_f (raw)	-287	meV/atom
symmetry	P4/mmm